A relaxed Sr3Y3HoS8 crystal, computed with GGA-PBE.

Lattice parameters (Å, degrees): 8.005 8.005 8.273 118.94 90.00 120.00
Fractional positions:
Sr (0.500, 0.500, 0.000)
Ho (0.000, 0.000, 0.500)
Y (0.500, 0.500, 0.500)
S (0.760, 0.521, 0.277)
S (0.744, 0.984, 0.723)
S (0.760, 0.016, 0.277)
S (0.240, 0.984, 0.723)
Sr (0.000, 0.000, 0.000)
S (0.256, 0.016, 0.277)
Y (0.500, 0.000, 0.500)
S (0.240, 0.479, 0.723)
Sr (0.000, 0.500, 0.000)
S (0.257, 0.514, 0.270)
Y (0.000, 0.500, 0.500)
S (0.743, 0.486, 0.730)

## Properties
* DOS at the Fermi energy: 0.312 states/eV/atom
* formation energy (no corrections): -31.37 eV/f.u.
* VASP energy: -0.2288 hartree per atom

A relaxed SrYHo2S4 crystal, computed with GGA-PBE.

Lattice parameters (Å, degrees): 3.953 6.898 6.895 70.93 90.00 90.00
Fractional positions:
Ho (0.500, 0.000, 0.500)
Ho (0.000, 0.000, 0.000)
S (0.500, 0.241, 0.746)
S (0.500, 0.759, 0.254)
S (0.000, 0.235, 0.263)
Y (0.000, 0.500, 0.500)
S (0.000, 0.765, 0.737)
Sr (0.500, 0.500, 0.000)

## Properties
* DOS at the Fermi energy: 0.339 states/eV/atom
* formation energy (no corrections): -15.88 eV/f.u.
* VASP energy: -0.2283 hartree per atom

A relaxed Ho2TaS5 crystal, computed with GGA-PBE.

Lattice parameters (Å, degrees): 5.143 6.973 12.483 90.00 90.00 111.64
Last column: magnetic moment on the atom in μB.
Fractional positions:
Ho (0.147, 0.294, 0.563)  0.05
Ho (0.853, 0.706, 0.063)  0.05
S (0.951, 0.903, 0.624)  -0.01
S (0.308, 0.617, 0.412)  0.00
Ho (0.147, 0.294, 0.937)  0.05
S (0.271, 0.543, 0.750)  -0.02
S (0.951, 0.903, 0.876)  -0.01
S (0.049, 0.097, 0.124)  -0.01
Ta (0.811, 0.622, 0.750)  0.64
Ta (0.189, 0.378, 0.250)  0.64
S (0.308, 0.617, 0.088)  0.00
S (0.692, 0.383, 0.912)  0.00
Ho (0.853, 0.706, 0.437)  0.05
S (0.729, 0.457, 0.250)  -0.02
S (0.692, 0.383, 0.588)  0.00
S (0.049, 0.097, 0.376)  -0.01

## Properties
* DOS at the Fermi energy: 0.452 states/eV/atom
* formation energy (no corrections): -11.94 eV/f.u.
* VASP energy: -0.2462 hartree per atom

A relaxed HoTa6S8 crystal, computed with GGA-PBE.

Lattice parameters (Å, degrees): 6.593 6.593 6.593 88.11 88.11 88.11
Fractional positions:
Ta (0.409, 0.555, 0.202)
S (0.758, 0.388, 0.132)
Ta (0.591, 0.445, 0.798)
S (0.242, 0.612, 0.868)
Ta (0.202, 0.409, 0.555)
S (0.612, 0.868, 0.242)
S (0.771, 0.771, 0.771)
S (0.388, 0.132, 0.758)
Ho (0.000, 0.000, 0.000)
Ta (0.798, 0.591, 0.445)
S (0.229, 0.229, 0.229)
Ta (0.555, 0.202, 0.409)
Ta (0.445, 0.798, 0.591)
S (0.868, 0.242, 0.612)
S (0.132, 0.758, 0.388)

## Properties
* DOS at the Fermi energy: 0.546 states/eV/atom
* formation energy (no corrections): -13.94 eV/f.u.
* VASP energy: -0.3005 hartree per atom

A relaxed HoTaS2 crystal, computed with GGA-PBE.

Lattice parameters (Å, degrees): 3.436 3.436 8.756 78.69 78.69 60.00
Fractional positions:
S (0.106, 0.106, 0.681)
S (0.894, 0.894, 0.319)
Ta (0.500, 0.500, 0.500)
Ho (0.000, 0.000, 0.000)

## Properties
* DOS at the Fermi energy: 0.598 states/eV/atom
* formation energy (no corrections): -3.30 eV/f.u.
* VASP energy: -0.2571 hartree per atom

A relaxed HoTa2S5 crystal, computed with GGA-PBE.

Lattice parameters (Å, degrees): 5.605 6.605 6.645 89.78 65.06 89.49
Fractional positions:
S (0.000, 0.500, 0.500)
S (0.490, 0.257, 0.845)
S (0.165, 0.743, 0.845)
S (0.510, 0.743, 0.155)
Ta (0.207, 0.500, 0.086)
Ho (0.500, 0.500, 0.500)
Ta (0.793, 0.500, 0.914)
S (0.835, 0.257, 0.155)

## Properties
* DOS at the Fermi energy: 0.370 states/eV/atom
* formation energy (no corrections): -8.75 eV/f.u.
* VASP energy: -0.2649 hartree per atom

A relaxed HoTaS3 crystal, computed with GGA-PBE.

Lattice parameters (Å, degrees): 3.551 6.982 8.451 94.47 102.20 104.72
Fractional positions:
Ho (0.924, 0.038, 0.895)
S (0.397, 0.526, 0.352)
S (0.616, 0.317, 0.998)
S (0.100, 0.020, 0.262)
S (0.881, 0.229, 0.616)
Ho (0.572, 0.508, 0.718)
S (0.192, 0.822, 0.642)
Ta (0.878, 0.653, 0.188)
Ta (0.618, 0.892, 0.426)
S (0.305, 0.724, 0.972)

## Properties
* DOS at the Fermi energy: 0.398 states/eV/atom
* formation energy (no corrections): -7.28 eV/f.u.
* VASP energy: -0.2653 hartree per atom

A relaxed Ho2TaS4 crystal, computed with GGA-PBE.

Lattice parameters (Å, degrees): 3.778 6.924 7.115 120.15 105.40 90.00
Last column: magnetic moment on the atom in μB.
Fractional positions:
S (0.375, 0.730, 0.751)  0.00
Ho (0.729, 0.742, 0.459)  0.06
Ho (0.271, 0.258, 0.541)  0.06
S (0.111, 0.806, 0.223)  0.00
S (0.625, 0.270, 0.249)  0.00
S (0.889, 0.194, 0.777)  0.00
Ta (0.000, 0.000, 0.000)  0.56

## Properties
* DOS at the Fermi energy: 0.517 states/eV/atom
* formation energy (no corrections): -10.54 eV/f.u.
* VASP energy: -0.2523 hartree per atom

A relaxed Ho3TaTl3S8 crystal, computed with GGA-PBE.

Lattice parameters (Å, degrees): 7.740 7.737 8.895 115.76 90.00 120.01
Last column: magnetic moment on the atom in μB.
Fractional positions:
Tl (0.000, 0.500, 0.000)  0.00
S (0.216, 0.433, 0.689)  0.00
Ho (0.000, 0.500, 0.500)  0.02
S (0.267, 0.534, 0.302)  0.00
Ho (0.500, 0.000, 0.500)  0.02
Tl (0.000, 0.000, 0.000)  0.00
S (0.244, 0.028, 0.311)  0.00
Tl (0.500, 0.500, 0.000)  0.00
S (0.733, 0.466, 0.698)  0.00
S (0.784, 0.028, 0.311)  0.00
Ho (0.500, 0.500, 0.500)  0.02
S (0.756, 0.972, 0.689)  0.00
Ta (0.000, 0.000, 0.500)  0.34
S (0.216, 0.972, 0.689)  0.00
S (0.784, 0.567, 0.311)  0.00

## Properties
* DOS at the Fermi energy: 0.299 states/eV/atom
* formation energy (no corrections): -20.23 eV/f.u.
* VASP energy: -0.2105 hartree per atom

A relaxed TbHo3S4 crystal, computed with GGA-PBE.

Lattice parameters (Å, degrees): 3.863 6.765 6.765 109.10 90.00 90.00
Fractional positions:
S (0.500, 0.749, 0.251)
S (0.000, 0.253, 0.253)
Tb (0.500, 0.000, 0.000)
Ho (0.000, 0.000, 0.500)
Ho (0.000, 0.500, 0.000)
S (0.500, 0.251, 0.749)
S (0.000, 0.747, 0.747)
Ho (0.500, 0.500, 0.500)

## Properties
* DOS at the Fermi energy: 0.622 states/eV/atom
* formation energy (no corrections): -15.85 eV/f.u.
* VASP energy: -0.2330 hartree per atom

A relaxed Tb3Ho4S8 crystal, computed with GGA-PBE.

Lattice parameters (Å, degrees): 7.789 7.794 7.794 90.01 119.97 119.97
Fractional positions:
Tb (0.500, 0.500, 0.500)
Tb (0.500, 0.000, 0.500)
S (0.997, 0.249, 0.249)
Tb (0.500, 0.500, 0.000)
Ho (0.000, 0.000, 0.000)
S (0.000, 0.750, 0.250)
S (0.003, 0.751, 0.751)
S (0.000, 0.250, 0.750)
S (0.500, 0.249, 0.751)
Ho (0.000, 0.000, 0.500)
S (0.500, 0.752, 0.752)
Ho (0.000, 0.500, 0.000)
S (0.500, 0.248, 0.248)
Ho (0.500, 0.000, 0.000)
S (0.500, 0.751, 0.249)

## Properties
* DOS at the Fermi energy: 0.416 states/eV/atom
* formation energy (no corrections): -30.75 eV/f.u.
* VASP energy: -0.2351 hartree per atom

A relaxed Tb3HoS4 crystal, computed with GGA-PBE.

Lattice parameters (Å, degrees): 3.885 6.802 6.802 109.10 90.00 90.00
Fractional positions:
Tb (0.000, 0.500, 0.000)
S (0.500, 0.751, 0.249)
Tb (0.000, 0.000, 0.500)
S (0.000, 0.247, 0.247)
Tb (0.500, 0.500, 0.500)
S (0.000, 0.753, 0.753)
Ho (0.500, 0.000, 0.000)
S (0.500, 0.249, 0.751)

## Properties
* DOS at the Fermi energy: 0.607 states/eV/atom
* formation energy (no corrections): -15.99 eV/f.u.
* VASP energy: -0.2341 hartree per atom

A relaxed Tb3HoS4 crystal, computed with GGA-PBE.

Lattice parameters (Å, degrees): 5.539 5.539 5.539 90.00 90.00 90.00
Fractional positions:
S (0.000, 0.000, 0.500)
Ho (0.000, 0.000, 0.000)
S (0.500, 0.000, 0.000)
S (0.500, 0.500, 0.500)
Tb (0.500, 0.000, 0.500)
Tb (0.500, 0.500, 0.000)
S (0.000, 0.500, 0.000)
Tb (0.000, 0.500, 0.500)

## Properties
* DOS at the Fermi energy: 0.549 states/eV/atom
* formation energy (no corrections): -15.91 eV/f.u.
* VASP energy: -0.2338 hartree per atom

A relaxed Tb3Ho5S8 crystal, computed with GGA-PBE.

Lattice parameters (Å, degrees): 7.799 7.799 7.803 60.02 60.02 60.00
Fractional positions:
S (0.750, 0.750, 0.247)
Ho (0.500, 0.500, 0.000)
Ho (0.000, 0.500, 0.000)
S (0.253, 0.750, 0.247)
Ho (0.500, 0.500, 0.500)
S (0.252, 0.252, 0.246)
S (0.747, 0.250, 0.753)
S (0.250, 0.747, 0.753)
Tb (0.000, 0.000, 0.500)
Ho (0.000, 0.000, 0.000)
S (0.750, 0.253, 0.247)
S (0.250, 0.250, 0.753)
Tb (0.500, 0.000, 0.500)
Tb (0.000, 0.500, 0.500)
S (0.748, 0.748, 0.754)
Ho (0.500, 0.000, 0.000)

## Properties
* DOS at the Fermi energy: 0.569 states/eV/atom
* formation energy (no corrections): -31.73 eV/f.u.
* VASP energy: -0.2332 hartree per atom

A relaxed Tb4HoS4 crystal, computed with GGA-PBE.

Lattice parameters (Å, degrees): 5.529 6.736 6.736 80.20 65.69 65.60
Fractional positions:
S (0.902, 0.398, 0.798)
Tb (0.801, 0.801, 0.596)
Tb (0.398, 0.404, 0.801)
S (0.300, 0.798, 0.603)
Ho (0.000, 0.000, 0.000)
Tb (0.602, 0.596, 0.199)
Tb (0.199, 0.199, 0.404)
S (0.700, 0.202, 0.397)
S (0.098, 0.602, 0.202)

## Properties
* DOS at the Fermi energy: 0.615 states/eV/atom
* formation energy (no corrections): -15.91 eV/f.u.
* VASP energy: -0.2267 hartree per atom

A relaxed Tb3Ho2S4 crystal, computed with GGA-PBE.

Lattice parameters (Å, degrees): 3.856 3.856 15.972 90.00 90.00 120.00
Fractional positions:
S (0.000, 0.000, 0.696)
S (0.667, 0.333, 0.104)
Ho (0.667, 0.333, 0.795)
Tb (0.000, 0.000, 0.000)
S (0.333, 0.667, 0.896)
Tb (0.333, 0.667, 0.591)
Tb (0.667, 0.333, 0.409)
Ho (0.333, 0.667, 0.205)
S (0.000, 0.000, 0.304)

## Properties
* DOS at the Fermi energy: 0.672 states/eV/atom
* formation energy (no corrections): -15.79 eV/f.u.
* VASP energy: -0.2260 hartree per atom

A relaxed Tb2HoS3 crystal, computed with GGA-PBE.

Lattice parameters (Å, degrees): 3.922 5.525 6.769 114.08 106.84 90.00
Fractional positions:
Ho (0.500, 0.000, 0.000)
S (0.836, 0.836, 0.672)
Tb (0.832, 0.332, 0.664)
Tb (0.168, 0.668, 0.336)
S (0.164, 0.164, 0.328)
S (0.500, 0.500, 0.000)

## Properties
* DOS at the Fermi energy: 0.387 states/eV/atom
* formation energy (no corrections): -11.98 eV/f.u.
* VASP energy: -0.2340 hartree per atom

A relaxed TbHo4S6 crystal, computed with GGA-PBE.

Lattice parameters (Å, degrees): 3.817 6.676 19.746 90.00 90.00 106.61
Fractional positions:
Ho (0.139, 0.278, 0.040)
S (0.769, 0.539, 0.411)
Ho (0.139, 0.278, 0.460)
Tb (0.652, 0.304, 0.250)
S (0.500, 0.000, 0.000)
S (0.500, 0.000, 0.500)
S (0.769, 0.539, 0.089)
Ho (0.591, 0.183, 0.628)
S (0.231, 0.461, 0.589)
Ho (0.409, 0.817, 0.372)
S (0.692, 0.384, 0.750)
S (0.950, 0.900, 0.667)
S (0.950, 0.900, 0.833)
Ho (0.861, 0.722, 0.540)
S (0.231, 0.461, 0.911)
Ho (0.861, 0.722, 0.960)
S (0.308, 0.616, 0.250)
Ho (0.591, 0.183, 0.872)
S (0.050, 0.100, 0.333)
Ho (0.409, 0.817, 0.128)
Tb (0.348, 0.696, 0.750)
S (0.050, 0.100, 0.167)

## Properties
* DOS at the Fermi energy: 0.233 states/eV/atom
* formation energy (no corrections): -22.37 eV/f.u.
* VASP energy: -0.2341 hartree per atom

A relaxed Tb5Ho3S8 crystal, computed with GGA-PBE.

Lattice parameters (Å, degrees): 7.821 7.821 7.826 60.02 60.02 60.00
Fractional positions:
S (0.249, 0.249, 0.254)
Ho (0.000, 0.500, 0.500)
S (0.751, 0.751, 0.746)
S (0.750, 0.247, 0.253)
Ho (0.500, 0.000, 0.500)
Tb (0.000, 0.000, 0.000)
S (0.750, 0.750, 0.253)
Tb (0.500, 0.500, 0.500)
Tb (0.500, 0.000, 0.000)
S (0.250, 0.753, 0.747)
Tb (0.500, 0.500, 0.000)
S (0.247, 0.750, 0.253)
Tb (0.000, 0.500, 0.000)
S (0.753, 0.250, 0.747)
S (0.250, 0.250, 0.747)
Ho (0.000, 0.000, 0.500)

## Properties
* DOS at the Fermi energy: 0.570 states/eV/atom
* formation energy (no corrections): -31.87 eV/f.u.
* VASP energy: -0.2338 hartree per atom

A relaxed Tb4Ho2S9 crystal, computed with GGA-PBE.

Lattice parameters (Å, degrees): 6.926 6.926 18.532 90.00 90.00 60.00
Fractional positions:
S (0.637, 0.330, 0.583)
S (0.701, 0.298, 0.250)
S (0.363, 0.670, 0.417)
Tb (0.333, 0.333, 0.982)
S (0.330, 0.034, 0.583)
S (0.364, 0.966, 0.917)
Tb (0.334, 0.333, 0.684)
S (0.000, 0.298, 0.750)
S (0.670, 0.966, 0.417)
S (0.670, 0.364, 0.917)
Tb (0.333, 0.333, 0.184)
S (0.330, 0.636, 0.083)
S (0.702, 0.000, 0.750)
Ho (0.000, 0.000, 0.650)
S (0.034, 0.636, 0.583)
Tb (0.666, 0.667, 0.316)
Ho (0.000, 0.000, 0.850)
S (0.034, 0.330, 0.083)
S (0.000, 0.702, 0.250)
Ho (0.000, 0.000, 0.350)
Tb (0.667, 0.667, 0.816)
S (0.298, 0.000, 0.250)
S (0.299, 0.702, 0.750)
Tb (0.667, 0.667, 0.018)
S (0.966, 0.670, 0.917)
S (0.636, 0.034, 0.083)
Ho (0.000, 0.000, 0.150)
Tb (0.667, 0.667, 0.518)
S (0.966, 0.364, 0.417)
Tb (0.333, 0.333, 0.482)

## Properties
* DOS at the Fermi energy: 0.000 states/eV/atom
* formation energy (no corrections): -30.91 eV/f.u.
* VASP energy: -0.2345 hartree per atom